Here is a geometry-optimized GaCo2F2 structure from Alexandria. Energies are from PBE+U.

Cell lengths 6.764, 6.764, 2.746 Å; angles 90.00, 90.00, 90.00 degrees
Site moments in Bohr magnetons follow the coordinates.
Element x y z (fractional)
Co (0.188, 0.688, 0.500)  2.03
Co (0.688, 0.812, 0.500)  2.03
Co (0.812, 0.312, 0.500)  2.03
Co (0.312, 0.188, 0.500)  2.03
Ga (0.000, 0.000, 0.000)  -0.05
Ga (0.500, 0.500, 0.000)  -0.05
F (0.370, 0.870, 0.000)  0.01
F (0.870, 0.630, 0.000)  0.01
F (0.630, 0.130, 0.000)  0.01
F (0.130, 0.370, 0.000)  0.01

Summary:
density of states at the Fermi level = 2.47 states/eV per cell
energy above the most stable polymorph in this dataset = 0 meV/atom

***

Here is a geometry-optimized GaCoF3 structure from Alexandria. Energies are from PBE+U.

Cell lengths 4.153, 4.153, 4.153 Å; angles 90.00, 90.00, 90.00 degrees
Site moments in Bohr magnetons follow the coordinates.
Element x y z (fractional)
Co (0.500, 0.500, 0.500)  2.81
Ga (0.000, 0.000, 0.000)  -0.08
F (0.000, 0.500, 0.000)  0.03
F (0.000, 0.000, 0.500)  0.03
F (0.500, 0.000, 0.000)  -0.01

Summary:
density of states at the Fermi level = 4.73 states/eV per cell
energy above the most stable polymorph in this dataset = 476 meV/atom

***

Here is a geometry-optimized GaCoF3 structure from Alexandria. Energies are from PBE+U.

Cell lengths 4.097, 4.097, 4.097 Å; angles 90.00, 90.00, 90.00 degrees
Site moments in Bohr magnetons follow the coordinates.
Element x y z (fractional)
Co (0.000, 0.000, 0.000)  2.77
Ga (0.500, 0.500, 0.500)  0.00
F (0.000, 0.500, 0.000)  0.07
F (0.000, 0.000, 0.500)  0.04
F (0.500, 0.000, 0.000)  0.10

Summary:
density of states at the Fermi level = 7.49 states/eV per cell
energy above the most stable polymorph in this dataset = 0 meV/atom

***

Here is a geometry-optimized GaCo2F structure from Alexandria. Energies are from PBE+U.

Cell lengths 6.214, 6.214, 5.247 Å; angles 53.69, 53.69, 90.00 degrees
Site moments in Bohr magnetons follow the coordinates.
Element x y z (fractional)
Co (0.586, 0.125, 0.250)  1.98
Co (0.164, 0.625, 0.250)  1.99
Co (0.375, 0.414, 0.750)  2.00
Co (0.875, 0.836, 0.750)  2.00
Ga (0.000, 0.000, 0.000)  -0.07
Ga (0.750, 0.250, 0.500)  -0.07
F (0.500, 0.500, 0.000)  0.03
F (0.250, 0.750, 0.500)  0.03

Summary:
density of states at the Fermi level = 0.77 states/eV per cell
energy above the most stable polymorph in this dataset = 0 meV/atom